# GGA-PBE NbP2S2, optimized geometry
data_NbP2S2
_chemical_formula_sum 'Nb1 P2 S2'
_space_group_name_H-M_alt 'P 1'
_space_group_IT_number 1
_space_group_name_Hall 'P 1'
_cell_length_a 4.916
_cell_length_b 4.916
_cell_length_c 4.607
_cell_angle_alpha 90.00
_cell_angle_beta 90.00
_cell_angle_gamma 90.00
loop_
_atom_site_label
_atom_site_fract_x
_atom_site_fract_y
_atom_site_fract_z
_atom_site_occupancy
P1 0.000 0.500 0.000 1
P2 0.500 0.000 0.000 1
Nb1 0.000 0.000 0.000 1
S1 0.500 0.500 0.500 1
S2 0.000 0.000 0.500 1
# Energy above the most stable polymorph in this dataset = 3.908 eV per formula unit
# Raw total energy = -5.259 eV/atom
# Crystal system = tetragonal